(1)
SI2O (GGA-PBE, optimized geometry); total magnetic moment = 0.00 Bohr magnetons per cell; symmetry = No. 122; D(E_F) = 9.5 states/eV per cell
1.0
-2.6899 2.6899 7.4843
2.6899 -2.6899 7.4843
2.6899 2.6899 -7.4843
S I O
2 4 2
Cartesian
0.0000 0.0000 0.0000
0.0000 2.6899 3.7422
1.3449 -0.8040 5.6133
1.8859 1.3449 1.8711
1.3449 3.4939 -1.8711
0.8040 1.3449 9.3554
2.6899 0.0000 3.7422
0.0000 0.0000 7.4843

(2)
SI2O (GGA-PBE, optimized geometry); total magnetic moment = 0.00 Bohr magnetons per cell; symmetry = No. 225; D(E_F) = 4.3 states/eV per cell
1.0
0.0000 3.4387 3.4387
3.4387 0.0000 3.4387
3.4387 3.4387 0.0000
S I O
1 2 1
Cartesian
0.0000 0.0000 0.0000
1.7194 1.7194 1.7194
5.1581 5.1581 5.1581
3.4387 3.4387 3.4387

Stability comparison, relative energies in meV/atom: (1) 0; (2) 260

(1)
ScSI2O (GGA-PBE, optimized geometry); total magnetic moment = 1.16 Bohr magnetons per cell; symmetry = No. 123; D(E_F) = 4.3 states/eV per cell
1.0
5.6421 0.0000 0.0000
0.0000 5.6421 0.0000
0.0000 0.0000 3.6698
Sc S I O
1 1 2 1
Cartesian
0.0000 0.0000 0.0000
2.8211 2.8211 1.8349
0.0000 2.8211 1.8349
2.8211 0.0000 1.8349
2.8211 2.8211 0.0000

(2)
ScSI2O (GGA-PBE, optimized geometry); total magnetic moment = 2.29 Bohr magnetons per cell; symmetry = No. 123; D(E_F) = 4.6 states/eV per cell
1.0
6.0022 0.0000 0.0000
0.0000 6.0022 0.0000
0.0000 0.0000 3.8548
Sc S I O
1 1 2 1
Cartesian
0.0000 0.0000 0.0000
3.0011 3.0011 1.9274
0.0000 3.0011 0.0000
3.0011 0.0000 0.0000
0.0000 0.0000 1.9274

Stability comparison, relative energies in meV/atom: (1) 672; (2) 0

(1)
SnSI2O (GGA-PBE, optimized geometry); total magnetic moment = 0.00 Bohr magnetons per cell; symmetry = No. 123; D(E_F) = 3.0 states/eV per cell
1.0
5.8398 0.0000 0.0000
0.0000 5.8398 0.0000
0.0000 0.0000 3.7031
Sn S I O
1 1 2 1
Cartesian
0.0000 0.0000 0.0000
2.9199 2.9199 1.8515
0.0000 2.9199 1.8515
2.9199 0.0000 1.8515
2.9199 2.9199 0.0000

(2)
SnSI2O (GGA-PBE, optimized geometry); total magnetic moment = 2.46 Bohr magnetons per cell; symmetry = No. 123; D(E_F) = 3.0 states/eV per cell
1.0
6.0328 0.0000 0.0000
0.0000 6.0328 0.0000
0.0000 0.0000 4.0155
Sn S I O
1 1 2 1
Cartesian
0.0000 0.0000 0.0000
3.0164 3.0164 2.0078
0.0000 3.0164 0.0000
3.0164 0.0000 0.0000
0.0000 0.0000 2.0078

Stability comparison, relative energies in meV/atom: (1) 0; (2) 23

(1)
TcSI2O (GGA-PBE, optimized geometry); total magnetic moment = 0.60 Bohr magnetons per cell; symmetry = No. 123; D(E_F) = 4.2 states/eV per cell
1.0
5.5167 0.0000 0.0000
0.0000 5.5167 0.0000
0.0000 0.0000 3.7343
Tc S I O
1 1 2 1
Cartesian
0.0000 0.0000 0.0000
2.7584 2.7584 1.8672
0.0000 2.7584 0.0000
2.7584 0.0000 0.0000
0.0000 0.0000 1.8672

(2)
TcSI2O (GGA-PBE, optimized geometry); total magnetic moment = 4.13 Bohr magnetons per cell; symmetry = No. 123; D(E_F) = 3.1 states/eV per cell
1.0
5.6915 0.0000 0.0000
0.0000 5.6915 0.0000
0.0000 0.0000 3.5923
Tc S I O
1 1 2 1
Cartesian
0.0000 0.0000 0.0000
2.8458 2.8458 1.7962
0.0000 2.8458 1.7962
2.8458 0.0000 1.7962
2.8458 2.8458 0.0000

Stability comparison, relative energies in meV/atom: (1) 0; (2) 685